# 1
This record from Alexandria via LeMat-Bulk describes crystalline Eu3Zn at its relaxed geometry. The functional is GGA-PBE.

Cell: 6.416 6.416 6.416 Å, 134.46 134.46 66.38°
Atoms (fractional coordinates):
1 Eu 0.000 0.000 0.000
2 Eu 0.250 0.750 0.500
3 Eu 0.750 0.250 0.500
4 Zn 0.500 0.500 0.000

total DFT energy (no corrections): -31.8 eV per cell
ΔH_f (0 K): 0.0707 eV per atom
DOS at the Fermi energy: 2.401 states/eV per atom


# 2
This record from Alexandria via LeMat-Bulk describes crystalline YMg2NiSn at its relaxed geometry. The functional is GGA-PBE.

Cell: 4.793 4.793 4.874 Å, 90.00 90.00 90.00°
Atoms (fractional coordinates):
1 Y 0.000 0.000 0.000
2 Mg 0.000 0.500 0.500
3 Mg 0.500 0.000 0.500
4 Ni 0.500 0.500 0.500
5 Sn 0.500 0.500 0.000

total DFT energy (no corrections): -20.5 eV per cell
ΔH_f (0 K): -0.2058 eV per atom
DOS at the Fermi energy: 0.444 states/eV per atom


# 3
This record from Alexandria via LeMat-Bulk describes crystalline Na2GaBr4 at its relaxed geometry. The functional is GGA-PBE.

Cell: 7.418 7.418 7.418 Å, 123.07 123.07 84.76°
Atoms (fractional coordinates):
1 Na 0.250 0.750 0.500
2 Na 0.750 0.250 0.500
3 Ga 0.000 0.000 0.000
4 Br 0.107 0.653 0.000
5 Br 0.347 0.347 0.454
6 Br 0.653 0.107 0.000
7 Br 0.893 0.893 0.546

total DFT energy (no corrections): -19.8 eV per cell
E_form (uncorrected): -1068 meV/atom
offset from the most stable computed form: 0.00 kcal/mol of atoms
DOS at the Fermi energy: 0.501 states/eV per atom


# 4
This record from Alexandria via LeMat-Bulk describes crystalline CaLaCu4 at its relaxed geometry. The functional is GGA-PBE.

Cell: 5.766 5.766 4.269 Å, 111.57 111.57 79.87°
Atoms (fractional coordinates):
1 Ca 0.000 0.000 0.000
2 La 0.500 0.500 0.500
3 Cu 0.085 0.418 0.752
4 Cu 0.418 0.085 0.752
5 Cu 0.582 0.915 0.248
6 Cu 0.915 0.582 0.248

total DFT energy (no corrections): -24.3 eV per cell
ΔH_f (0 K): -0.1713 eV per atom
offset from the most stable computed form: 0.00 kcal/mol of atoms
DOS at the Fermi energy: 0.570 states/eV per atom